A geometry-optimized Pu6HgRh5 structure. Source: Alexandria, functional GGA-PBE.

abc: 5.122 8.243 6.251
angles: 90.00 90.00 71.90
Last column: magnetic moment on the atom in μB.
Element x y z (fractional)
1 Rh 0.668 0.664 0.500  -0.20
2 Rh 0.331 0.338 0.000  -0.26
3 Rh 0.000 0.000 0.500  0.10
4 Rh 0.669 0.662 0.000  -0.26
5 Rh 0.332 0.336 0.500  -0.20
6 Hg 0.000 0.000 0.000  -0.02
7 Pu 0.827 0.346 0.256  5.14
8 Pu 0.827 0.346 0.744  5.14
9 Pu 0.500 0.000 0.732  -5.21
10 Pu 0.500 0.000 0.268  -5.21
11 Pu 0.173 0.654 0.256  5.14
12 Pu 0.173 0.654 0.744  5.14

* density of states at the Fermi level: 4.10 states/eV/atom
* total moment: 9.744 μB per cell
* energy: -10.5621 eV per atom